# ErUVO6

ErUVO6 after structural relaxation (PBE+U, the Alexandria database).

Geometry as extended XYZ:
```
18
Lattice="5.5930 0.0000 0.0000 -2.7965 4.8437 0.0000 0.0000 0.0000 8.7623" Properties=species:S:1:pos:R:3 pbc="T T T"
Er 0.0000 3.2291 2.1906
Er 2.7965 1.6146 6.5717
U 0.0000 3.2291 6.5717
U 2.7965 1.6146 2.1906
V 0.0000 0.0000 0.0000
V 0.0000 0.0000 4.3811
O -0.8179 1.6249 5.4894
O -1.7982 3.3229 7.6541
O 0.8179 1.6249 7.6541
O -0.9803 4.7395 5.4894
O 1.8162 0.1041 1.1082
O 0.9983 1.5208 3.2729
O 1.7982 3.3229 5.4894
O 0.9803 4.7395 7.6541
O 3.7768 0.1041 3.2729
O 1.9786 3.2187 1.1082
O 4.5947 1.5208 1.1082
O 3.6144 3.2187 3.2729
```

Summary:
calculated density: 7726 kg/m3
electronic total energy: -8.6971 eV per atom
symmetry: P-31c